A plane-wave DFT calculation with PBE-GGA was carried out for ScZnAu2 after structural relaxation.

Properties
The formation energy comes out at -1.91 eV per formula unit. Its space group is No. 99.

a b c (Å): 3.5059 3.5084 5.9612
angles (deg): 90.00 90.00 90.00
Closest atoms and distances in Å follow each position.
Positions (direct):
Au  0.0000  0.0000  0.9697  4 Zn 2.73, 1 Sc 2.88, 4 Au 3.04
Au  0.5000  0.5000  0.2643  4 Sc 2.81, 2 Zn 2.89-3.07, 4 Au 3.04
Sc  0.0000  0.0000  0.4860  6 Au 2.81-3.08, 4 Zn 3.04
Zn  0.5000  0.5000  0.7800  5 Au 2.73-2.89, 4 Sc 3.04

A plane-wave DFT calculation with PBE-GGA was carried out for SrSbW after structural relaxation.

Properties
The energy above the lowest structure with this stoichiometry is 589 meV/atom. The formation energy from raw total energies is 93.4 kJ per mole of atoms. Its space group is No. 216.

a b c (Å): 5.0550 5.0550 5.0550
angles (deg): 60.00 60.00 60.00
Closest atoms and distances in Å follow each position.
Positions (direct):
Sb  0.0000  0.0000  0.0000  4 W 3.10
Sr  0.5000  0.5000  0.5000  4 W 3.10
W  0.7500  0.7500  0.7500  4 Sb 3.10, 4 Sr 3.10

A plane-wave DFT calculation with PBE-GGA was carried out for Rb2Sr2Tl after structural relaxation.

Properties
The formation energy comes out at 0.24 eV per formula unit. Its space group is No. 127.

a b c (Å): 8.9300 8.9300 7.6039
angles (deg): 90.00 90.00 90.00
Closest atoms and distances in Å follow each position.
Positions (direct):
Sr  0.3330  0.8330  0.0000  2 Tl 3.33
Sr  0.8330  0.6670  0.0000  2 Tl 3.33
Sr  0.6670  0.1670  0.0000  2 Tl 3.33
Sr  0.1670  0.3330  0.0000  2 Tl 3.33
Tl  0.0000  0.0000  0.0000  4 Sr 3.33
Tl  0.5000  0.5000  0.0000  4 Sr 3.33
Rb  0.1783  0.6783  0.5000  2 Sr 4.27, 5 Rb 4.50-4.65
Rb  0.6783  0.8217  0.5000  2 Sr 4.27, 5 Rb 4.50-4.65
Rb  0.8217  0.3217  0.5000  2 Sr 4.27, 5 Rb 4.50-4.65
Rb  0.3217  0.1783  0.5000  2 Sr 4.27, 5 Rb 4.50-4.65